Record 1
A plane-wave DFT calculation with PBE was carried out for crystalline PaGa3Mo at its relaxed geometry.

Results
- final energy (eV/cell) = -60.37
- SG = No. 63
- total magnetization (μB per formula unit) = 0.00
- N(E_F) (states/eV/atom) = 0.936

Cell: 5.9493 5.9486 5.8776 Å, 90.00 90.00 67.34°
Positions (direct):
Pa 0.5540 0.7565 0.5524
Pa 0.0066 0.2092 0.0524
Ga 0.4775 0.2853 0.3024
Ga 0.0830 0.6804 0.3024
Ga 0.0971 0.3001 0.5524
Ga 0.0830 0.6804 0.8024
Ga 0.4775 0.2853 0.8024
Ga 0.4635 0.6656 0.0524
Mo 0.7098 0.9122 0.0524
Mo 0.8508 0.0535 0.5524


Record 2
A plane-wave DFT calculation with PBE was carried out for crystalline Pa2GaMo at its relaxed geometry.

Results
- final energy (eV/cell) = -33.25
- SG = No. 123
- total magnetization (μB per formula unit) = 0.00
- N(E_F) (states/eV/atom) = 1.308

Cell: 4.2030 4.4346 4.4346 Å, 90.00 90.00 90.00°
Positions (direct):
Mo 0.5000 0.5000 0.5000
Pa 0.0000 0.0000 0.5000
Pa 0.0000 0.5000 0.0000
Ga 0.5000 0.0000 0.0000


Record 3
A plane-wave DFT calculation with PBE was carried out for crystalline PaGaMoPd at its relaxed geometry.

Results
- final energy (eV/cell) = -29.30
- SG = No. 216
- total magnetization (μB per formula unit) = 0.00
- N(E_F) (states/eV/atom) = 0.497

Cell: 4.6965 4.6965 4.6965 Å, 60.00 60.00 60.00°
Positions (direct):
Mo 0.0000 0.0000 0.0000
Pd 0.5000 0.5000 0.5000
Pa 0.7500 0.7500 0.7500
Ga 0.2500 0.2500 0.2500


Look up the total magnetization of the first one.
0.00 μB per formula unit